Ac2ThIn: optimized geometry, PBE-GGA.

Summary:
E_form = -0.09 eV per atom
Size of the total moment = 0.0000 μB/atom

CIF file:
```
data_Ac2ThIn
_chemical_formula_sum 'Ac2 Th1 In1'
_cell_length_a 5.195
_cell_length_b 5.195
_cell_length_c 5.198
_cell_angle_alpha 90.00
_cell_angle_beta 90.00
_cell_angle_gamma 90.00
_space_group_name_H-M_alt 'P 4/m m m'
_space_group_IT_number 123
_space_group_name_Hall '-P 4 2'
loop_
_atom_site_label
_atom_site_fract_x
_atom_site_fract_y
_atom_site_fract_z
Ac1 0.000 0.500 0.000
Th1 0.000 0.000 0.500
In1 0.500 0.500 0.500
```